12
Lattice="-3.363 3.543 -1.418 -3.209 -3.561 -1.692 -2.966 -0.306 6.269" Properties=species:S:1:pos:R:3 comment="SrNp2WO8 (PBE with a Hubbard U, relaxed)" density_kg_m3=8083 total_magnetization_mub_per_fu=6.000 n_ef_per_ev_cell=8.6 total_energy_ev_per_cell=-106.7 pbc="T T T"
O -4.855 -0.310 5.375
O -3.654 -0.156 2.107
O -5.598 -2.401 3.353
O -5.695 1.896 3.517
O -3.939 2.077 -0.193
O -5.883 -0.168 1.052
O -4.682 -0.014 -2.215
O -3.843 -2.220 -0.357
Np -4.006 -0.084 -0.031
Np -5.531 -0.241 3.191
Sr -1.483 -0.153 3.135
W 0.000 0.000 0.000